# PBE HfSbTe2Se, optimized geometry
data_HfSbTe2Se
_cell_length_a 5.270
_cell_length_b 5.270
_cell_length_c 5.392
_cell_angle_alpha 90.00
_cell_angle_beta 90.00
_cell_angle_gamma 90.00
_symmetry_space_group_name_H-M 'P 4/m m m'
_symmetry_Int_Tables_number 123
_symmetry_space_group_name_Hall '-P 4 2'
loop_
_atom_site_label
_atom_site_fract_x
_atom_site_fract_y
_atom_site_fract_z
_atom_site_occupancy
Hf1 0.000 0.000 0.000 1
Sb1 0.500 0.500 0.000 1
Te1 0.000 0.500 0.500 1
Se1 0.500 0.500 0.500 1
# Excess energy over the best structure of this formula in the dataset in eV per atom: 0.446
# ΔE_f (raw) in eV/atom: 0.69